(1)
A PBEsol-optimized structure of In2TeBr. Source: Alexandria via LeMat-Bulk, functional SCAN.

The structure in POSCAR format:
```
In2TeBr
1.0
4.414 0.000 0.000
0.000 4.414 0.000
0.000 0.000 6.336
Br In Te
1 2 1
direct
0.500 0.500 0.500
0.500 0.500 0.000
0.000 0.000 0.500
0.000 0.000 0.000
```

Calculated values
Raw formation energy = -0.409 eV/atom
Energy relative to the lowest polymorph listed for this composition = 0.0 meV/atom
Symmetry = P4/mmm

---

(2)
A PBEsol-optimized structure of ZrAs2Se. Source: Alexandria via LeMat-Bulk, functional SCAN.

The structure in POSCAR format:
```
ZrAs2Se
1.0
3.567 0.000 0.000
0.000 4.586 0.000
0.000 0.000 4.586
As Se Zr
2 1 1
direct
0.000 0.000 0.500
0.000 0.500 0.000
0.500 0.500 0.500
0.500 0.000 0.000
```

Calculated values
Raw formation energy = -0.170 eV/atom
Symmetry = P4/mmm

---

(3)
A PBEsol-optimized structure of HfMoI3. Source: Alexandria via LeMat-Bulk, functional SCAN.

The structure in POSCAR format:
```
HfMoI3
1.0
-0.031 -3.434 4.073
5.325 -0.137 -0.075
0.153 4.070 3.433
I Hf Mo
3 1 1
direct
0.500 0.000 0.000
0.000 0.000 0.500
0.000 0.500 0.000
0.500 0.500 0.500
0.000 0.000 0.000
```

Calculated values
Raw formation energy = 1.080 eV/atom
Symmetry = Pm-3m

---

(4)
A PBEsol-optimized structure of Sc4SbSe. Source: Alexandria via LeMat-Bulk, functional SCAN.

The structure in POSCAR format:
```
Sc4SbSe
1.0
5.699 0.000 0.000
2.850 4.936 0.000
2.850 1.645 4.653
Se Sb Sc
1 1 4
direct
0.750 0.750 0.750
0.000 0.000 0.000
0.374 0.877 0.374
0.374 0.374 0.877
0.877 0.374 0.374
0.374 0.374 0.374
```

Calculated values
Raw formation energy = -0.080 eV/atom
Symmetry = F-43m

---

(5)
A PBEsol-optimized structure of Y3TaO7. Source: Alexandria via LeMat-Bulk, functional SCAN.

The structure in POSCAR format:
```
Y3TaO7
1.0
-0.284 2.186 6.024
-5.251 -3.485 -1.193
3.494 -6.076 2.370
Ta O Y
2 14 6
direct
0.999 0.999 0.000
0.001 0.001 0.500
0.069 0.931 0.250
0.629 0.371 0.250
0.948 0.690 0.956
0.917 0.670 0.524
0.670 0.917 0.476
0.330 0.083 0.976
0.690 0.948 0.044
0.310 0.052 0.544
0.052 0.310 0.456
0.931 0.069 0.750
0.361 0.639 0.250
0.639 0.361 0.750
0.371 0.629 0.750
0.083 0.330 0.024
0.532 0.532 0.500
0.536 0.000 0.759
0.000 0.536 0.241
0.464 0.000 0.259
0.468 0.468 0.000
0.000 0.464 0.741
```

Calculated values
Raw formation energy = -3.747 eV/atom
Symmetry = C222_1

---

(6)
A PBEsol-optimized structure of IrRu2. Source: Alexandria via LeMat-Bulk, functional SCAN.

The structure in POSCAR format:
```
IrRu2
1.0
4.276 0.000 0.000
0.000 4.683 0.000
0.000 0.000 8.112
Ru Ir
8 4
direct
0.250 0.666 0.000
0.250 0.168 0.166
0.750 0.332 0.666
0.250 0.668 0.334
0.750 0.832 0.834
0.750 0.334 0.000
0.250 0.166 0.500
0.750 0.834 0.500
0.750 0.833 0.166
0.750 0.333 0.334
0.250 0.667 0.666
0.250 0.167 0.834
```

Calculated values
Energy relative to the lowest polymorph listed for this composition = 1.1 meV/atom
Symmetry = Pnma
Energy of formation from the pure elements = -0.077 eV/atom

---

(7)
A PBEsol-optimized structure of MgIrSe3. Source: Alexandria via LeMat-Bulk, functional SCAN.

The structure in POSCAR format:
```
MgIrSe3
1.0
4.744 0.000 0.000
0.000 4.744 0.000
0.000 0.000 4.744
Se Mg Ir
3 1 1
direct
0.000 0.500 0.000
0.000 0.000 0.500
0.500 0.000 0.000
0.000 0.000 0.000
0.500 0.500 0.500
```

Calculated values
Raw formation energy = 1.083 eV/atom
Symmetry = Pm-3m

---

(8)
A PBEsol-optimized structure of Zn2IrRh. Source: Alexandria via LeMat-Bulk, functional SCAN.

The structure in POSCAR format:
```
Zn2IrRh
1.0
2.971 0.000 0.000
0.000 4.225 0.000
0.000 0.000 4.225
Ir Zn Rh
1 2 1
direct
0.500 0.500 0.500
0.000 0.500 0.000
0.000 0.000 0.500
0.500 0.000 0.000
```

Calculated values
Symmetry = P4/mmm
Energy of formation from the pure elements = -0.275 eV/atom

---

(9)
A PBEsol-optimized structure of AlBiAsPt2. Source: Alexandria via LeMat-Bulk, functional SCAN.

The structure in POSCAR format:
```
AlBiAsPt2
1.0
-3.680 -1.117 2.376
2.449 -2.934 2.414
1.139 3.917 3.605
Pt Bi Al As
2 1 1 1
direct
0.000 0.500 0.000
0.500 0.000 0.000
0.000 0.000 0.500
0.000 0.000 0.000
0.500 0.500 0.500
```

Calculated values
Symmetry = P4/mmm
Energy of formation from the pure elements = 0.588 eV/atom

---

(10)
A PBEsol-optimized structure of NaCa2GaI. Source: Alexandria via LeMat-Bulk, functional SCAN.

The structure in POSCAR format:
```
NaCa2GaI
1.0
5.349 0.000 0.000
0.000 6.102 0.000
0.000 0.000 6.102
Ca I Na Ga
2 1 1 1
direct
0.000 0.500 0.000
0.000 0.000 0.500
0.500 0.000 0.000
0.000 0.000 0.000
0.500 0.500 0.500
```

Calculated values
Raw formation energy = 0.361 eV/atom
Symmetry = P4/mmm

---

(11)
A PBEsol-optimized structure of K2BaMn. Source: Alexandria via LeMat-Bulk, functional SCAN.

The structure in POSCAR format:
```
K2BaMn
1.0
4.136 0.054 0.000
-0.054 4.136 0.000
0.000 0.000 11.269
K Ba Mn
2 1 1
direct
0.000 0.000 0.010
0.500 0.500 0.684
0.500 0.500 0.325
0.000 0.000 0.482
```

Calculated values
Symmetry = P4mm
Energy of formation from the pure elements = 0.301 eV/atom

---

(12)
A PBEsol-optimized structure of RbCoAg3. Source: Alexandria via LeMat-Bulk, functional SCAN.

The structure in POSCAR format:
```
RbCoAg3
1.0
5.388 0.000 0.000
0.000 5.388 0.000
0.000 0.000 5.388
Ag Co Rb
3 1 1
direct
0.500 0.000 0.000
0.000 0.000 0.500
0.000 0.500 0.000
0.500 0.500 0.500
0.000 0.000 0.000
```

Calculated values
Energy relative to the lowest polymorph listed for this composition = 1284.0 meV/atom
Symmetry = Pm-3m
Energy of formation from the pure elements = 1.894 eV/atom

---

(13)
A PBEsol-optimized structure of Ta3IrPt. Source: Alexandria via LeMat-Bulk, functional SCAN.

The structure in POSCAR format:
```
Ta3IrPt
1.0
-3.144 -1.911 2.980
-2.669 -1.339 -3.675
2.326 -4.120 -0.188
Ta Ir Pt
3 1 1
direct
0.500 0.000 0.000
0.000 0.500 0.000
0.000 0.000 0.500
0.000 0.000 0.000
0.500 0.500 0.500
```

Calculated values
Symmetry = Pm-3m
Energy of formation from the pure elements = 0.995 eV/atom

---

(14)
A PBEsol-optimized structure of Re5Rh. Source: Alexandria via LeMat-Bulk, functional SCAN.

The structure in POSCAR format:
```
Re5Rh
1.0
-2.589 1.123 -3.345
2.859 -2.351 -3.002
-3.652 -2.255 2.070
Re Rh
5 1
direct
0.500 0.667 0.333
0.000 0.667 0.000
0.000 0.333 0.333
0.000 0.000 0.667
0.500 0.333 0.667
0.500 0.000 0.000
```

Calculated values
Energy relative to the lowest polymorph listed for this composition = 0.0 meV/atom
Symmetry = P-62m
Energy of formation from the pure elements = -0.094 eV/atom

---

(15)
A PBEsol-optimized structure of SiMoBr. Source: Alexandria via LeMat-Bulk, functional SCAN.

The structure in POSCAR format:
```
SiMoBr
1.0
2.889 0.000 0.000
0.000 4.425 0.000
0.000 -2.213 3.832
Br Si Mo
1 1 1
direct
0.000 0.000 0.000
0.500 0.667 0.333
0.000 0.333 0.667
```

Calculated values
Raw formation energy = 0.790 eV/atom
Symmetry = P-6m2

---

(16)
A PBEsol-optimized structure of Li2InRh. Source: Alexandria via LeMat-Bulk, functional SCAN.

The structure in POSCAR format:
```
Li2InRh
1.0
4.403 0.000 0.000
2.201 3.813 0.000
2.201 1.271 3.595
Li In Rh
2 1 1
direct
0.500 0.500 0.500
0.750 0.750 0.750
0.250 0.250 0.250
0.000 0.000 0.000
```

Calculated values
Symmetry = F-43m
Energy of formation from the pure elements = -0.434 eV/atom

---

(17)
A PBEsol-optimized structure of Y2MgP. Source: Alexandria via LeMat-Bulk, functional SCAN.

The structure in POSCAR format:
```
Y2MgP
1.0
3.992 0.000 0.000
0.000 4.158 0.000
0.000 -2.079 5.531
P Mg Y
1 1 2
direct
0.500 0.667 0.333
0.000 0.821 0.642
0.000 0.108 0.216
0.500 0.403 0.806
```

Calculated values
Energy relative to the lowest polymorph listed for this composition = 76.6 meV/atom
Symmetry = Amm2
Energy of formation from the pure elements = -0.805 eV/atom

---

(18)
A PBEsol-optimized structure of TeP2Pt. Source: Alexandria via LeMat-Bulk, functional SCAN.

The structure in POSCAR format:
```
TeP2Pt
1.0
-1.526 -0.310 3.365
2.140 -0.683 2.950
0.908 5.626 2.973
P Pt Te
2 1 1
direct
0.767 0.767 0.700
0.233 0.233 0.300
0.500 0.500 0.500
0.000 0.000 0.000
```

Calculated values
Raw formation energy = -0.069 eV/atom
Symmetry = R-3m

---

(19)
A PBEsol-optimized structure of Zn3Co5. Source: Alexandria via LeMat-Bulk, functional SCAN.

The structure in POSCAR format:
```
Zn3Co5
1.0
-2.415 -1.788 -1.909
3.622 -2.999 -1.773
-0.809 -3.068 3.898
Co Zn
5 3
direct
0.000 0.000 0.000
0.000 0.500 0.000
0.500 0.243 0.243
0.500 0.757 0.757
0.000 0.000 0.500
0.500 0.753 0.247
0.500 0.247 0.753
0.000 0.500 0.500
```

Calculated values
Symmetry = Cmmm
Energy of formation from the pure elements = 0.039 eV/atom

---

(20)
A PBEsol-optimized structure of LiScTc. Source: Alexandria via LeMat-Bulk, functional SCAN.

The structure in POSCAR format:
```
LiScTc
1.0
3.264 0.000 0.000
0.000 3.264 0.000
-1.632 -1.632 4.375
Tc Li Sc
1 1 1
direct
0.339 0.339 0.677
0.987 0.987 0.974
0.674 0.674 0.349
```

Calculated values
Symmetry = I4mm
Energy of formation from the pure elements = 0.223 eV/atom